Computed, not measured: a relaxed RbAlFeSe3 crystal at the PBE level of DFT.

Cell and atoms, written as POSCAR:
```
RbAlFeSe3
1.0
1.936 -7.835 0.000
1.936 7.835 0.000
0.000 0.000 10.523
Rb Al Fe Se
2 2 2 6
Direct
0.248 0.752 0.750
0.752 0.248 0.250
0.033 0.967 0.250
0.967 0.033 0.750
0.500 0.500 0.000
0.500 0.500 0.500
0.111 0.889 0.057
0.111 0.889 0.443
0.438 0.562 0.250
0.562 0.438 0.750
0.889 0.111 0.557
0.889 0.111 0.943
```

SG: Cmcm, No. 63
Magnetization in μB per atom: 0.665
ΔE to the lowest computed polymorph in eV per atom: 0.0470

Computed, not measured: a relaxed ThTePt crystal at the PBE level of DFT.

Cell and atoms, written as POSCAR:
```
ThTePt
1.0
0.000 3.580 3.580
3.580 0.000 3.580
3.580 3.580 0.000
Th Te Pt
1 1 1
Direct
0.000 0.000 0.000
0.250 0.250 0.250
0.750 0.750 0.750
```

SG: F-43m, No. 216
Magnetization in μB per atom: 0.000
ΔE to the lowest computed polymorph in eV per atom: 0.0000

Computed, not measured: a relaxed RbSmDyTe3 crystal at the PBE level of DFT.

Cell and atoms, written as POSCAR:
```
RbSmDyTe3
1.0
2.388 -8.404 0.000
2.388 8.404 0.000
0.000 0.000 12.010
Rb Sm Dy Te
2 2 2 6
Direct
0.244 0.756 0.750
0.756 0.244 0.250
0.500 0.500 0.000
0.500 0.500 0.500
0.034 0.966 0.250
0.966 0.034 0.750
0.127 0.873 0.045
0.127 0.873 0.455
0.431 0.569 0.250
0.569 0.431 0.750
0.873 0.127 0.545
0.873 0.127 0.955
```

SG: Cmcm, No. 63
Magnetization in μB per atom: 0.017
Raw total energy in eV/atom: -4.518

Computed, not measured: a relaxed GdAgPO crystal at the PBE level of DFT.

Cell and atoms, written as POSCAR:
```
GdAgPO
1.0
5.851 0.000 0.000
0.000 3.759 0.000
0.000 0.000 7.628
Gd Ag P O
2 2 2 2
Direct
0.250 0.000 0.213
0.750 0.000 0.787
0.250 0.500 0.641
0.750 0.500 0.359
0.250 0.000 0.842
0.750 0.000 0.158
0.250 0.500 0.347
0.750 0.500 0.653
```

SG: Pmma, No. 51
Magnetization in μB per atom: 0.001
ΔE to the lowest computed polymorph in eV per atom: 0.3391

Computed, not measured: a relaxed NbMoIr2 crystal at the PBE level of DFT.

Cell and atoms, written as POSCAR:
```
NbMoIr2
1.0
0.000 3.162 3.162
3.162 0.000 3.162
3.162 3.162 0.000
Nb Mo Ir
1 1 2
Direct
0.000 0.000 0.000
0.250 0.250 0.250
0.500 0.500 0.500
0.750 0.750 0.750
```

E_form in eV/f.u.: -0.13
SG: F-43m, No. 216
Magnetization in μB per atom: 0.000

Computed, not measured: a relaxed AgBiTeO crystal at the PBE level of DFT.

Cell and atoms, written as POSCAR:
```
AgBiTeO
1.0
4.070 0.000 0.000
0.000 7.055 0.000
0.000 0.000 7.299
Ag Bi Te O
2 2 2 2
Direct
0.000 0.222 0.000
0.000 0.778 0.500
0.500 0.384 0.425
0.500 0.616 0.925
0.000 0.149 0.630
0.000 0.851 0.130
0.500 0.365 0.100
0.500 0.635 0.600
```

SG: Pmc2_1, No. 26
ΔE to the lowest computed polymorph in eV per atom: 0.2431

Computed, not measured: a relaxed BaZrBeNi crystal at the PBE level of DFT.

Cell and atoms, written as POSCAR:
```
BaZrBeNi
1.0
0.000 3.385 3.385
3.385 0.000 3.385
3.385 3.385 0.000
Ba Zr Be Ni
1 1 1 1
Direct
0.000 0.000 0.000
0.750 0.750 0.750
0.250 0.250 0.250
0.500 0.500 0.500
```

SG: F-43m, No. 216
Magnetization in μB per atom: 0.000
ΔE to the lowest computed polymorph in eV per atom: 0.0883

Computed, not measured: a relaxed TmTaPb crystal at the PBE level of DFT.

Cell and atoms, written as POSCAR:
```
TmTaPb
1.0
0.000 3.419 3.419
3.419 0.000 3.419
3.419 3.419 0.000
Tm Ta Pb
1 1 1
Direct
0.000 0.000 0.000
0.500 0.500 0.500
0.750 0.750 0.750
```

SG: F-43m, No. 216
Magnetization in μB per atom: 0.253
ΔE to the lowest computed polymorph in eV per atom: 0.0000